Here is a relaxed TlVF3 crystal from Alexandria via LeMat-Bulk. Energies are from GGA+U.

abc: 8.1730 8.1730 5.7966
angles: 92.43 92.43 78.78
Last column: nearest neighbours and their distance in Å.
Atoms (fractional coordinates):
Tl (0.0979, 0.3047, 0.2767)  3 F 2.51-2.71
Tl (0.3047, 0.0979, 0.7767)  3 F 2.51-2.71
Tl (0.6953, 0.9021, 0.2233)  3 F 2.51-2.71
Tl (0.9021, 0.6953, 0.7233)  3 F 2.51-2.71
V (0.2570, 0.7430, 0.2500)  6 F 2.08-2.23
V (0.4205, 0.5795, 0.7500)  6 F 2.09-2.17
V (0.5795, 0.4205, 0.2500)  6 F 2.09-2.17
V (0.7430, 0.2570, 0.7500)  6 F 2.08-2.23
F (0.0136, 0.7658, 0.1168)  1 V 2.08
F (0.1958, 0.6353, 0.5574)  2 V 2.09-2.14
F (0.2342, 0.9864, 0.3832)  1 V 2.08
F (0.3419, 0.4967, 0.0707)  3 V 2.16-2.23
F (0.3647, 0.8042, 0.9426)  2 V 2.09-2.14
F (0.4967, 0.3419, 0.5707)  3 V 2.16-2.23
F (0.5033, 0.6581, 0.4293)  3 V 2.16-2.23
F (0.6353, 0.1958, 0.0574)  2 V 2.09-2.14
F (0.6581, 0.5033, 0.9293)  3 V 2.16-2.23
F (0.7658, 0.0136, 0.6168)  1 V 2.08
F (0.8042, 0.3647, 0.4426)  2 V 2.09-2.14
F (0.9864, 0.2342, 0.8832)  1 V 2.08

Calculated values
- V (Å³/cell) = 379.2
- offset from the most stable computed form (eV per formula unit) = 0.28
- total moment (μB/cell) = 12.00
- total energy (eV/atom) = -5.37